## ZrHSe2 (PBE)

Data for a geometry-optimized ZrHSe2 structure.

Results
Space-group type   P2/c, No. 13
E   -0.402 Ry/atom
Total magnetic moment   0.00 μB/f.u.

Unit cell a=3.705 b=6.564 c=6.477 alpha=97.86 beta=90.00 gamma=90.00
Atoms (fractional coordinates):
Zr 0.036 0.204 0.728
Zr 0.528 0.704 0.728
H 0.282 0.954 0.228
H 0.282 0.454 0.228
Se 0.049 0.911 0.987
Se 0.049 0.497 0.468
Se 0.516 0.411 0.987
Se 0.516 0.997 0.468